1.
# SiAgIr2 (PBE-GGA, optimized geometry)
data_SiAgIr2
_chemical_formula_sum 'Si4 Ag4 Ir8'
_cell_length_a 6.2223
_cell_length_b 6.2223
_cell_length_c 6.2223
_cell_angle_alpha 90.00
_cell_angle_beta 90.00
_cell_angle_gamma 90.00
_space_group_name_H-M_alt 'F -4 3 m'
_space_group_IT_number 216
_space_group_name_Hall 'F -4 2 3'
loop_
_atom_site_label
_atom_site_fract_x
_atom_site_fract_y
_atom_site_fract_z
Si1 0.0000 0.0000 0.0000
Ag1 0.2500 0.2500 0.2500
Ir1 0.0000 0.0000 0.5000
Ir2 0.2500 0.2500 0.7500
# Crystal system = cubic



2.
# SmAgIr (PBE-GGA, optimized geometry)
data_SmAgIr
_chemical_formula_sum 'Sm4 Ag4 Ir4'
_cell_length_a 6.6596
_cell_length_b 6.6596
_cell_length_c 6.6596
_cell_angle_alpha 90.00
_cell_angle_beta 90.00
_cell_angle_gamma 90.00
_space_group_name_H-M_alt 'F -4 3 m'
_space_group_IT_number 216
_space_group_name_Hall 'F -4 2 3'
loop_
_atom_site_label
_atom_site_fract_x
_atom_site_fract_y
_atom_site_fract_z
Sm1 0.0000 0.0000 0.0000
Ag1 0.2500 0.2500 0.7500
Ir1 0.2500 0.2500 0.2500
# Crystal system = cubic
# Formation enthalpy at 0 K = 0.294 eV/atom
# Offset from the most stable computed form = 0.412 eV/atom



3.
# SmAgIr (PBE-GGA, optimized geometry)
data_SmAgIr
_chemical_formula_sum 'Sm4 Ag4 Ir4'
_cell_length_a 6.6011
_cell_length_b 6.6011
_cell_length_c 6.6011
_cell_angle_alpha 90.00
_cell_angle_beta 90.00
_cell_angle_gamma 90.00
_space_group_name_H-M_alt 'F -4 3 m'
_space_group_IT_number 216
_space_group_name_Hall 'F -4 2 3'
loop_
_atom_site_label
_atom_site_fract_x
_atom_site_fract_y
_atom_site_fract_z
Sm1 0.0000 0.0000 0.0000
Ag1 0.0000 0.0000 0.5000
Ir1 0.2500 0.2500 0.7500
# Crystal system = cubic
# Formation enthalpy at 0 K = -0.118 eV/atom
# Offset from the most stable computed form = 0.000 eV/atom



Number 1: calculated total energy -97.9 eV for the cell shown. Number 2: calculated total energy -62.0 eV for the cell shown. Number 3: calculated total energy -67.0 eV for the cell shown.